[1]
Material: Nd2Sn2PdAu3
Method: DFT, GGA-PBE
State: relaxed

Values from the calculation:
**Uncorrected energy**: -4.799 eV per atom
**Spin magnetization**: 0.0 Bohr magnetons per cell

The structure in CIF format:
```
data_Nd2Sn2PdAu3
_space_group_name_H-M_alt 'P 3 m 1'
_space_group_IT_number 156
_space_group_name_Hall 'P 3 -2"'
_cell_length_a 4.7610
_cell_length_b 4.7610
_cell_length_c 9.4348
_cell_angle_alpha 90.00
_cell_angle_beta 90.00
_cell_angle_gamma 120.00
loop_
_atom_site_label
_atom_site_type_symbol
_atom_site_fract_x
_atom_site_fract_y
_atom_site_fract_z
Nd1 Nd 0.0000 0.0000 0.0000
Nd2 Nd 0.3333 0.6667 0.4992
Sn1 Sn 0.6667 0.3333 0.2496
Sn2 Sn 0.6667 0.3333 0.7292
Pd1 Pd 0.0000 0.0000 0.6694
Au1 Au 0.0000 0.0000 0.3565
Au2 Au 0.3333 0.6667 0.1445
Au3 Au 0.3333 0.6667 0.8343
```

***

[2]
Material: NdSnPdAu
Method: DFT, GGA-PBE
State: relaxed

Values from the calculation:
**Uncorrected energy**: -5.067 eV per atom
**Spin magnetization**: 0.0 Bohr magnetons per cell

The structure in CIF format:
```
data_NdSnPdAu
_space_group_name_H-M_alt 'P 63 m c'
_space_group_IT_number 186
_space_group_name_Hall 'P 6c -2c'
_cell_length_a 4.7384
_cell_length_b 4.7384
_cell_length_c 9.2506
_cell_angle_alpha 90.00
_cell_angle_beta 90.00
_cell_angle_gamma 120.00
loop_
_atom_site_label
_atom_site_type_symbol
_atom_site_fract_x
_atom_site_fract_y
_atom_site_fract_z
Nd1 Nd 0.3333 0.6667 0.0000
Sn1 Sn 0.0000 0.0000 0.2327
Pd1 Pd 0.3333 0.6667 0.6609
Au1 Au 0.3333 0.6667 0.3416
```

***

[3]
Material: NdSnPdAu
Method: DFT, GGA-PBE
State: relaxed

Values from the calculation:
**Uncorrected energy**: -5.071 eV per atom
**Spin magnetization**: 0.0 Bohr magnetons per cell

The structure in CIF format:
```
data_NdSnPdAu
_space_group_name_H-M_alt 'P -6 m 2'
_space_group_IT_number 187
_space_group_name_Hall 'P -6 2'
_cell_length_a 4.7529
_cell_length_b 4.7529
_cell_length_c 9.2192
_cell_angle_alpha 90.00
_cell_angle_beta 90.00
_cell_angle_gamma 120.00
loop_
_atom_site_label
_atom_site_type_symbol
_atom_site_fract_x
_atom_site_fract_y
_atom_site_fract_z
Nd1 Nd 0.0000 0.0000 0.0000
Nd2 Nd 0.3333 0.6667 0.5000
Sn1 Sn 0.6667 0.3333 0.2213
Pd1 Pd 0.3333 0.6667 0.1686
Au1 Au 0.0000 0.0000 0.3426
```

***

[4]
Material: PmNdAu
Method: DFT, GGA-PBE
State: relaxed

Values from the calculation:
**Uncorrected energy**: -4.151 eV per atom
**Spin magnetization**: 0.0 Bohr magnetons per cell
**Energy of formation from the pure elements**: 0.107 eV per atom

The structure in CIF format:
```
data_PmNdAu
_space_group_name_H-M_alt 'F -4 3 m'
_space_group_IT_number 216
_space_group_name_Hall 'F -4 2 3'
_cell_length_a 7.029
_cell_length_b 7.029
_cell_length_c 7.029
_cell_angle_alpha 90.00
_cell_angle_beta 90.00
_cell_angle_gamma 90.00
loop_
_atom_site_label
_atom_site_type_symbol
_atom_site_fract_x
_atom_site_fract_y
_atom_site_fract_z
Pm1 Pm 0.000 0.000 0.000
Nd1 Nd 0.250 0.250 0.750
Au1 Au 0.000 0.000 0.500
```

***

[5]
Material: PmNdAu
Method: DFT, GGA-PBE
State: relaxed

Values from the calculation:
**Uncorrected energy**: -4.825 eV per atom
**Spin magnetization**: 0.0 Bohr magnetons per cell
**Energy of formation from the pure elements**: -0.567 eV per atom

The structure in CIF format:
```
data_PmNdAu
_space_group_name_H-M_alt 'P n m a'
_space_group_IT_number 62
_space_group_name_Hall '-P 2ac 2n'
_cell_length_a 7.294
_cell_length_b 5.093
_cell_length_c 9.231
_cell_angle_alpha 90.00
_cell_angle_beta 90.00
_cell_angle_gamma 90.00
loop_
_atom_site_label
_atom_site_type_symbol
_atom_site_fract_x
_atom_site_fract_y
_atom_site_fract_z
Pm1 Pm 0.152 0.250 0.085
Nd1 Nd 0.008 0.250 0.677
Au1 Au 0.244 0.250 0.404
```

***

[6]
Material: PrNdAu4
Method: DFT, GGA-PBE
State: relaxed

Values from the calculation:
**Uncorrected energy**: -4.532 eV per atom
**Spin magnetization**: 0.0 Bohr magnetons per cell
**Energy of formation from the pure elements**: -0.765 eV per atom

The structure in CIF format:
```
data_PrNdAu4
_space_group_name_H-M_alt 'I m m 2'
_space_group_IT_number 44
_space_group_name_Hall 'I 2 -2'
_cell_length_a 4.739
_cell_length_b 7.065
_cell_length_c 8.296
_cell_angle_alpha 90.00
_cell_angle_beta 90.00
_cell_angle_gamma 90.00
loop_
_atom_site_label
_atom_site_type_symbol
_atom_site_fract_x
_atom_site_fract_y
_atom_site_fract_z
Pr1 Pr 0.000 0.000 0.000
Nd1 Nd 0.000 0.500 0.928
Au1 Au 0.000 0.217 0.628
Au2 Au 0.000 0.282 0.300
```

***

[7]
Material: Pr3NdAu4
Method: DFT, GGA-PBE
State: relaxed

Values from the calculation:
**Uncorrected energy**: -4.822 eV per atom
**Spin magnetization**: 0.0 Bohr magnetons per cell
**Energy of formation from the pure elements**: -0.803 eV per atom

The structure in CIF format:
```
data_Pr3NdAu4
_space_group_name_H-M_alt 'P 1 m 1'
_space_group_IT_number 6
_space_group_name_Hall 'P -2y'
_cell_length_a 5.890
_cell_length_b 4.831
_cell_length_c 7.504
_cell_angle_alpha 90.00
_cell_angle_beta 90.20
_cell_angle_gamma 90.00
loop_
_atom_site_label
_atom_site_type_symbol
_atom_site_fract_x
_atom_site_fract_y
_atom_site_fract_z
Pr1 Pr 0.000 0.000 0.000
Pr2 Pr 0.215 0.000 0.499
Pr3 Pr 0.500 0.500 0.869
Nd1 Nd 0.715 0.500 0.368
Au1 Au 0.005 0.500 0.724
Au2 Au 0.209 0.500 0.226
Au3 Au 0.508 0.000 0.146
Au4 Au 0.709 0.000 0.641
```

***

[8]
Material: PrNdAu
Method: DFT, GGA-PBE
State: relaxed

Values from the calculation:
**Uncorrected energy**: -4.184 eV per atom
**Spin magnetization**: 0.1 Bohr magnetons per cell
**Energy of formation from the pure elements**: 0.084 eV per atom

The structure in CIF format:
```
data_PrNdAu
_space_group_name_H-M_alt 'F -4 3 m'
_space_group_IT_number 216
_space_group_name_Hall 'F -4 2 3'
_cell_length_a 7.066
_cell_length_b 7.066
_cell_length_c 7.066
_cell_angle_alpha 90.00
_cell_angle_beta 90.00
_cell_angle_gamma 90.00
loop_
_atom_site_label
_atom_site_type_symbol
_atom_site_fract_x
_atom_site_fract_y
_atom_site_fract_z
Pr1 Pr 0.000 0.000 0.000
Nd1 Nd 0.250 0.250 0.750
Au1 Au 0.000 0.000 0.500
```

***

[9]
Material: Pr2NdTl3PtAu2
Method: DFT, GGA-PBE
State: relaxed

Values from the calculation:
**Uncorrected energy**: -4.416 eV per atom
**Spin magnetization**: 0.0 Bohr magnetons per cell

The structure in CIF format:
```
data_Pr2NdTl3PtAu2
_space_group_name_H-M_alt 'A m m 2'
_space_group_IT_number 38
_space_group_name_Hall 'A 2 -2'
_cell_length_a 4.085
_cell_length_b 13.777
_cell_length_c 7.955
_cell_angle_alpha 90.00
_cell_angle_beta 90.00
_cell_angle_gamma 90.00
loop_
_atom_site_label
_atom_site_type_symbol
_atom_site_fract_x
_atom_site_fract_y
_atom_site_fract_z
Pr1 Pr 0.000 0.201 0.000
Nd1 Nd 0.000 0.000 0.601
Tl1 Tl 0.500 0.000 0.945
Tl2 Tl 0.500 0.128 0.329
Pt1 Pt 0.000 0.000 0.202
Au1 Au 0.500 0.166 0.700
```

***

[10]
Material: PrNd2Zn3Pt2Au
Method: DFT, GGA-PBE
State: relaxed

Values from the calculation:
**Uncorrected energy**: -4.528 eV per atom
**Spin magnetization**: 0.0 Bohr magnetons per cell
**Energy of formation from the pure elements**: -0.809 eV per atom

The structure in CIF format:
```
data_PrNd2Zn3Pt2Au
_space_group_name_H-M_alt 'A m m 2'
_space_group_IT_number 38
_space_group_name_Hall 'A 2 -2'
_cell_length_a 3.978
_cell_length_b 13.047
_cell_length_c 7.526
_cell_angle_alpha 90.00
_cell_angle_beta 90.00
_cell_angle_gamma 90.00
loop_
_atom_site_label
_atom_site_type_symbol
_atom_site_fract_x
_atom_site_fract_y
_atom_site_fract_z
Pr1 Pr 0.000 0.000 0.000
Nd1 Nd 0.000 0.205 0.615
Zn1 Zn 0.500 0.000 0.664
Zn2 Zn 0.500 0.128 0.283
Pt1 Pt 0.500 0.168 0.909
Au1 Au 0.000 0.000 0.411
```

***

[11]
Material: PrNdSi3Au
Method: DFT, GGA-PBE
State: relaxed

Values from the calculation:
**Uncorrected energy**: -5.650 eV per atom
**Spin magnetization**: 0.0 Bohr magnetons per cell

The structure in CIF format:
```
data_PrNdSi3Au
_space_group_name_H-M_alt 'F m m m'
_space_group_IT_number 69
_space_group_name_Hall '-F 2 2'
_cell_length_a 8.305
_cell_length_b 8.662
_cell_length_c 14.384
_cell_angle_alpha 90.00
_cell_angle_beta 90.00
_cell_angle_gamma 90.00
loop_
_atom_site_label
_atom_site_type_symbol
_atom_site_fract_x
_atom_site_fract_y
_atom_site_fract_z
Pr1 Pr 0.000 0.243 0.000
Nd1 Nd 0.250 0.250 0.250
Si1 Si 0.000 0.000 0.164
Si2 Si 0.247 0.000 0.082
Au1 Au 0.000 0.000 0.333
```

***

[12]
Material: PrNd2Si4Au4
Method: DFT, GGA-PBE
State: relaxed

Values from the calculation:
**Uncorrected energy**: -5.207 eV per atom
**Spin magnetization**: 0.0 Bohr magnetons per cell

The structure in CIF format:
```
data_PrNd2Si4Au4
_space_group_name_H-M_alt 'I m m m'
_space_group_IT_number 71
_space_group_name_Hall '-I 2 2'
_cell_length_a 4.281
_cell_length_b 4.299
_cell_length_c 25.272
_cell_angle_alpha 90.00
_cell_angle_beta 90.00
_cell_angle_gamma 90.00
loop_
_atom_site_label
_atom_site_type_symbol
_atom_site_fract_x
_atom_site_fract_y
_atom_site_fract_z
Pr1 Pr 0.000 0.000 0.000
Nd1 Nd 0.000 0.500 0.148
Si1 Si 0.000 0.000 0.453
Si2 Si 0.000 0.500 0.309
Au1 Au 0.000 0.000 0.250
Au2 Au 0.000 0.500 0.405
```